[1]
{"formula": "CoBMoPd", "functional": "PBE", "state": "relaxed", "relative_energy_ev_per_atom": 0.000, "energy_ev_per_cell": -27.952, "cell": [[0.000, 2.894, 2.894], [2.894, 0.000, 2.894], [2.894, 2.894, 0.000]], "species": ["Co", "B", "Mo", "Pd"], "fractional_positions": [[0.000, 0.000, 0.000], [0.750, 0.750, 0.750], [0.500, 0.500, 0.500], [0.250, 0.250, 0.250]]}

---

[2]
{"formula": "CdCoCuW", "functional": "PBE", "state": "relaxed", "relative_energy_ev_per_atom": 0.000, "energy_ev_per_cell": -23.042, "cell": [[0.000, 3.046, 3.046], [3.046, 0.000, 3.046], [3.046, 3.046, 0.000]], "species": ["Cd", "Co", "Cu", "W"], "fractional_positions": [[0.000, 0.000, 0.000], [0.750, 0.750, 0.750], [0.250, 0.250, 0.250], [0.500, 0.500, 0.500]]}

---

[3]
{"formula": "PrAsPbO", "functional": "PBE", "state": "relaxed", "relative_energy_ev_per_atom": 0.000, "energy_ev_per_cell": -47.622, "cell": [[4.408, 0.000, 0.000], [0.000, 4.408, 0.000], [0.000, 0.000, 9.710]], "species": ["Pr", "Pr", "As", "As", "Pb", "Pb", "O", "O"], "fractional_positions": [[0.250, 0.250, 0.105], [0.750, 0.750, 0.895], [0.250, 0.250, 0.723], [0.750, 0.750, 0.277], [0.250, 0.750, 0.500], [0.750, 0.250, 0.500], [0.250, 0.750, 0.000], [0.750, 0.250, 0.000]]}

---

[4]
{"formula": "NbNiGe", "functional": "PBE", "state": "relaxed", "energy_ev_per_cell": -87.206, "cell": [[6.332, 0.000, 0.000], [0.000, 3.779, 0.000], [0.000, 0.000, 7.238]], "species": ["Nb", "Nb", "Nb", "Nb", "Ni", "Ni", "Ni", "Ni", "Ge", "Ge", "Ge", "Ge"], "fractional_positions": [[0.020, 0.250, 0.176], [0.480, 0.750, 0.676], [0.520, 0.250, 0.324], [0.980, 0.750, 0.824], [0.154, 0.250, 0.566], [0.346, 0.750, 0.066], [0.654, 0.250, 0.934], [0.846, 0.750, 0.434], [0.222, 0.750, 0.381], [0.278, 0.250, 0.881], [0.722, 0.750, 0.119], [0.778, 0.250, 0.619]]}

---

[5]
{"formula": "Na2TlMoH6", "functional": "PBE", "state": "relaxed", "energy_ev_per_cell": -34.377, "cell": [[0.000, 4.069, 4.069], [4.069, 0.000, 4.069], [4.069, 4.069, 0.000]], "species": ["Na", "Na", "Tl", "Mo", "H", "H", "H", "H", "H", "H"], "fractional_positions": [[0.250, 0.250, 0.250], [0.750, 0.750, 0.750], [0.000, 0.000, 0.000], [0.500, 0.500, 0.500], [0.275, 0.275, 0.725], [0.275, 0.725, 0.275], [0.275, 0.725, 0.725], [0.725, 0.275, 0.275], [0.725, 0.275, 0.725], [0.725, 0.725, 0.275]]}

---

[6]
{"formula": "GdYIr2C2N2", "functional": "PBE", "state": "relaxed", "energy_ev_per_cell": -67.969, "cell": [[3.736, 0.000, 0.000], [0.000, 3.736, 0.000], [0.000, 0.000, 7.337]], "species": ["Gd", "Y", "Ir", "Ir", "C", "C", "N", "N"], "fractional_positions": [[0.000, 0.000, 0.000], [0.500, 0.500, 0.665], [0.000, 0.500, 0.333], [0.500, 0.000, 0.333], [0.000, 0.000, 0.491], [0.500, 0.500, 0.172], [0.000, 0.000, 0.681], [0.500, 0.500, 0.982]]}

---

[7]
{"formula": "YMg2Fe", "functional": "PBE", "state": "relaxed", "energy_ev_per_cell": -16.924, "cell": [[0.000, 3.406, 3.406], [3.406, 0.000, 3.406], [3.406, 3.406, 0.000]], "species": ["Y", "Mg", "Mg", "Fe"], "fractional_positions": [[0.000, 0.000, 0.000], [0.500, 0.500, 0.500], [0.750, 0.750, 0.750], [0.250, 0.250, 0.250]]}

---

[8]
{"formula": "Dy3SnAu", "functional": "PBE", "state": "relaxed", "energy_ev_per_cell": -23.238, "cell": [[3.563, 0.000, 0.000], [1.672, 5.701, 0.000], [0.050, 1.924, 7.005]], "species": ["Dy", "Dy", "Dy", "Sn", "Au"], "fractional_positions": [[0.000, 0.000, 0.000], [0.073, 0.789, 0.549], [0.770, 0.455, 0.264], [0.388, 0.216, 0.625], [0.282, 0.455, 0.945]]}

---

[9]
{"formula": "Hf2NiW", "functional": "PBE", "state": "relaxed", "energy_ev_per_cell": -37.667, "cell": [[0.000, 3.236, 3.236], [3.236, 0.000, 3.236], [3.236, 3.236, 0.000]], "species": ["Hf", "Hf", "Ni", "W"], "fractional_positions": [[0.000, 0.000, 0.000], [0.250, 0.250, 0.250], [0.750, 0.750, 0.750], [0.500, 0.500, 0.500]]}

---

[10]
{"formula": "GdHgW", "functional": "PBE", "state": "relaxed", "energy_ev_per_cell": -13.820, "cell": [[0.000, 3.447, 3.447], [3.447, 0.000, 3.447], [3.447, 3.447, 0.000]], "species": ["Gd", "Hg", "W"], "fractional_positions": [[0.000, 0.000, 0.000], [0.750, 0.750, 0.750], [0.250, 0.250, 0.250]]}

---

[11]
{"formula": "LuNbFeSi", "functional": "PBE", "state": "relaxed", "relative_energy_ev_per_atom": 0.000, "energy_ev_per_cell": -27.866, "cell": [[0.000, 3.163, 3.163], [3.163, 0.000, 3.163], [3.163, 3.163, 0.000]], "species": ["Lu", "Nb", "Fe", "Si"], "fractional_positions": [[0.000, 0.000, 0.000], [0.250, 0.250, 0.250], [0.750, 0.750, 0.750], [0.500, 0.500, 0.500]]}

---

[12]
{"formula": "ErThMg", "functional": "PBE", "state": "relaxed", "relative_energy_ev_per_atom": 0.000, "energy_ev_per_cell": -11.888, "cell": [[0.000, 3.677, 3.677], [3.677, 0.000, 3.677], [3.677, 3.677, 0.000]], "species": ["Er", "Th", "Mg"], "fractional_positions": [[0.000, 0.000, 0.000], [0.500, 0.500, 0.500], [0.250, 0.250, 0.250]]}

---

Q: Number 5 is which compound?
A: Na2TlMoH6